NbCdTe2N: optimized geometry, PBE.

Summary:
Space group: P4/mmm
Crystal system: tetragonal
ΔE_f (raw), eV per formula unit: 6.50

abc: 5.6534 5.6534 4.0293
angles: 90.00 90.00 90.00
Closest atoms and distances in Å follow each position.
Fractional coordinates of all 5 atoms:
Nb (0.0000, 0.0000, 0.0000)  8 Te 3.47
Cd (0.5000, 0.5000, 0.5000)  2 N 2.01
Te (0.0000, 0.5000, 0.5000)  2 Cd 2.83
Te (0.5000, 0.0000, 0.5000)  2 Cd 2.83
N (0.5000, 0.5000, 0.0000)  2 Cd 2.01

Pr6PtRh2: optimized geometry, PBE.

Summary:
Space group: C2/m
Crystal system: monoclinic
Calculated total energy, eV per atom: -5.925

abc: 7.1040 7.1040 9.2640
angles: 116.82 116.82 45.49
Closest atoms and distances in Å follow each position.
Fractional coordinates of all 9 atoms:
Pr (0.0163, 0.0163, 0.2078)  1 Pt 2.82, 2 Rh 2.85-2.86
Pr (0.2852, 0.2852, 0.8703)  3 Rh 2.76-3.00
Pr (0.3568, 0.3568, 0.4546)  1 Rh 2.87
Pr (0.6432, 0.6432, 0.5454)  1 Rh 2.87
Pr (0.7148, 0.7148, 0.1297)  3 Rh 2.76-3.00
Pr (0.9837, 0.9837, 0.7922)  1 Pt 2.82, 2 Rh 2.85-2.86
Pt (0.0000, 0.0000, 0.5000)  2 Pr 2.82
Rh (0.1912, 0.1912, 0.1074)  6 Pr 2.76-3.00
Rh (0.8088, 0.8088, 0.8926)  6 Pr 2.76-3.00

Sr2ZrCrTc: optimized geometry, PBE.

Summary:
Space group: P4/mmm
Crystal system: tetragonal
Calculated total energy, eV per atom: -5.107

abc: 5.9365 5.9365 4.2758
angles: 90.00 90.00 90.00
Closest atoms and distances in Å follow each position.
Fractional coordinates of all 5 atoms:
Sr (0.0000, 0.5000, 0.0000)  2 Tc 2.97
Sr (0.5000, 0.0000, 0.0000)  2 Tc 2.97
Zr (0.0000, 0.0000, 0.5000)  8 Sr 3.66
Cr (0.5000, 0.5000, 0.5000)  2 Tc 2.14
Tc (0.5000, 0.5000, 0.0000)  2 Cr 2.14